DFT (PBE) results for Pr3Bi4Rh8 after structural relaxation.

Unit cell a=9.5289 b=9.5289 c=9.5289 alpha=60.00 beta=60.00 gamma=60.00
With the nearest neighbours (Å) after each atom.
Element x y z (fractional)
Rh: 0.0085 0.3305 0.3305  3 Bi 2.75, 6 Rh 2.93-3.07
Rh: 0.8770 0.8770 0.3690  4 Bi 2.87-2.93, 3 Rh 2.93, 3 Pr 3.06
Rh: 0.1230 0.6310 0.1230  4 Bi 2.87-2.93, 3 Rh 2.93, 3 Pr 3.06
Rh: 0.8770 0.3690 0.8770  4 Bi 2.87-2.93, 3 Rh 2.93, 3 Pr 3.06
Rh: 0.6310 0.1230 0.1230  4 Bi 2.87-2.93, 3 Rh 2.93, 3 Pr 3.06
Rh: 0.3305 0.3305 0.3305  3 Bi 2.75, 6 Rh 2.93-3.07
Rh: 0.9915 0.6695 0.6695  3 Bi 2.75, 6 Rh 2.93-3.07
Rh: 0.6695 0.6695 0.6695  3 Bi 2.75, 6 Rh 2.93-3.07
Rh: 0.6695 0.9915 0.6695  3 Bi 2.75, 6 Rh 2.93-3.07
Rh: 0.6695 0.6695 0.9915  3 Bi 2.75, 6 Rh 2.93-3.07
Rh: 0.8770 0.8770 0.8770  4 Bi 2.87-2.93, 3 Rh 2.93, 3 Pr 3.06
Rh: 0.3305 0.3305 0.0085  3 Bi 2.75, 6 Rh 2.93-3.07
Rh: 0.1230 0.1230 0.1230  4 Bi 2.87-2.93, 3 Rh 2.93, 3 Pr 3.06
Rh: 0.3690 0.8770 0.8770  4 Bi 2.87-2.93, 3 Rh 2.93, 3 Pr 3.06
Rh: 0.1230 0.1230 0.6310  4 Bi 2.87-2.93, 3 Rh 2.93, 3 Pr 3.06
Rh: 0.3305 0.0085 0.3305  3 Bi 2.75, 6 Rh 2.93-3.07
Bi: 0.0000 0.5000 0.5000  8 Rh 2.75-2.93
Bi: 0.0000 0.0000 0.5000  8 Rh 2.75-2.93
Bi: 0.5000 0.0000 0.5000  8 Rh 2.75-2.93
Bi: 0.0000 0.0000 0.0000  8 Rh 2.87
Bi: 0.5000 0.0000 0.0000  8 Rh 2.75-2.93
Bi: 0.5000 0.5000 0.0000  8 Rh 2.75-2.93
Bi: 0.5000 0.5000 0.5000  6 Pr 3.11
Bi: 0.0000 0.5000 0.0000  8 Rh 2.75-2.93
Pr: 0.7310 0.2690 0.7310  8 Rh 3.06-3.33, 5 Bi 3.11-3.38
Pr: 0.2690 0.7310 0.2690  8 Rh 3.06-3.33, 5 Bi 3.11-3.38
Pr: 0.2690 0.2690 0.7310  8 Rh 3.06-3.33, 5 Bi 3.11-3.38
Pr: 0.7310 0.2690 0.2690  8 Rh 3.06-3.33, 5 Bi 3.11-3.38
Pr: 0.2690 0.7310 0.7310  8 Rh 3.06-3.33, 5 Bi 3.11-3.38
Pr: 0.7310 0.7310 0.2690  8 Rh 3.06-3.33, 5 Bi 3.11-3.38

Results
For the energy of formation, the calculation gives -0.41 eV/atom. The value obtained for the density of states at the Fermi level is 0.85 states/eV per atom. For the energy, the calculation gives -6.32 eV per atom. Its magnetization is 0.0 μB per cell.


DFT (PBE) results for PrBi4Rh4 after structural relaxation.

Unit cell a=5.4617 b=9.0306 c=9.0306 alpha=90.00 beta=90.00 gamma=90.00
With the nearest neighbours (Å) after each atom.
Element x y z (fractional)
Bi: 0.4079 0.6605 0.1111  5 Rh 2.76-2.93
Bi: 0.4079 0.3395 0.8889  5 Rh 2.76-2.93
Bi: 0.0921 0.1605 0.6111  5 Rh 2.76-2.93
Bi: 0.9079 0.6111 0.8395  5 Rh 2.76-2.93
Bi: 0.0921 0.8395 0.3889  5 Rh 2.76-2.93
Bi: 0.5921 0.1111 0.3395  5 Rh 2.76-2.93
Bi: 0.5921 0.8889 0.6605  5 Rh 2.76-2.93
Bi: 0.9079 0.3889 0.1605  5 Rh 2.76-2.93
Rh: 0.4046 0.3701 0.2124  5 Bi 2.76-2.93, 1 Rh 2.83, 1 Pr 2.90
Rh: 0.0954 0.8701 0.7124  5 Bi 2.76-2.93, 1 Rh 2.83, 1 Pr 2.90
Rh: 0.5954 0.2124 0.6299  5 Bi 2.76-2.93, 1 Rh 2.83, 1 Pr 2.90
Rh: 0.5954 0.7876 0.3701  5 Bi 2.76-2.93, 1 Rh 2.83, 1 Pr 2.90
Rh: 0.9046 0.2876 0.8701  5 Bi 2.76-2.93, 1 Rh 2.83, 1 Pr 2.90
Rh: 0.9046 0.7124 0.1299  5 Bi 2.76-2.93, 1 Rh 2.83, 1 Pr 2.90
Rh: 0.0954 0.1299 0.2876  5 Bi 2.76-2.93, 1 Rh 2.83, 1 Pr 2.90
Rh: 0.4046 0.6299 0.7876  5 Bi 2.76-2.93, 1 Rh 2.83, 1 Pr 2.90
Pr: 0.0000 0.0000 0.0000  4 Rh 2.90
Pr: 0.5000 0.5000 0.5000  4 Rh 2.90

Results
For the energy of formation, the calculation gives -0.18 eV/atom. The value obtained for the density of states at the Fermi level is 0.64 states/eV per atom. For the energy, the calculation gives -5.70 eV per atom. Its magnetization is 0.0 μB per cell.


DFT (PBE) results for Pr2BiRh2 after structural relaxation.

Unit cell a=5.6736 b=5.9609 c=8.4014 alpha=103.98 beta=90.00 gamma=118.42
With the nearest neighbours (Å) after each atom.
Element x y z (fractional)
Rh: 0.2773 0.2797 0.4990  1 Rh 2.64, 2 Bi 2.82-2.89
Rh: 0.9976 0.7203 0.0010  1 Rh 2.64, 2 Bi 2.82-2.89
Rh: 0.7227 0.7203 0.5010  1 Rh 2.64, 2 Bi 2.82-2.89
Rh: 0.0024 0.2797 0.9990  1 Rh 2.64, 2 Bi 2.82-2.89
Pr: 0.4886 0.2984 0.1509  6 Rh 2.98-3.30
Pr: 0.1902 0.7016 0.3491  6 Rh 2.98-3.30
Pr: 0.8098 0.2984 0.6509  6 Rh 2.98-3.30
Pr: 0.5114 0.7016 0.8491  6 Rh 2.98-3.30
Bi: 0.8276 0.0000 0.2500  4 Rh 2.82-2.89
Bi: 0.1724 0.0000 0.7500  4 Rh 2.82-2.89

Results
For the energy of formation, the calculation gives -0.69 eV/atom. The value obtained for the density of states at the Fermi level is 0.79 states/eV per atom. For the energy, the calculation gives -6.32 eV per atom. Its magnetization is 0.0 μB per cell.


DFT (PBE) results for Pr2Bi3Rh5 after structural relaxation.

Unit cell a=4.4983 b=7.5790 c=13.0241 alpha=90.00 beta=99.94 gamma=90.00
With the nearest neighbours (Å) after each atom.
Element x y z (fractional)
Bi: 0.7867 0.6522 0.5734  7 Rh 2.70-3.00
Bi: 0.3910 0.0252 0.7821  6 Rh 2.73-2.81
Bi: 0.6090 0.5252 0.2179  6 Rh 2.73-2.81
Bi: 0.0611 0.0164 0.1221  4 Rh 2.73-2.84
Bi: 0.9389 0.5164 0.8779  4 Rh 2.73-2.84
Bi: 0.2133 0.1522 0.4266  7 Rh 2.70-3.00
Rh: 0.1214 0.3249 0.2428  4 Bi 2.70-2.80, 1 Rh 2.98
Rh: 0.7244 0.9513 0.4488  3 Bi 2.73-2.77, 3 Rh 2.95-3.03
Rh: 0.9471 0.1427 0.8941  4 Bi 2.81-3.08, 2 Pr 2.96, 1 Rh 2.98
Rh: 0.0529 0.6427 0.1059  4 Bi 2.81-3.08, 2 Pr 2.96, 1 Rh 2.98
Rh: 0.2951 0.8700 0.5902  4 Bi 2.73-3.00, 2 Rh 2.95
Rh: 0.2756 0.4513 0.5512  3 Bi 2.73-2.77, 3 Rh 2.95-3.03
Rh: 0.3922 0.3859 0.7844  3 Bi 2.73, 1 Rh 3.03
Rh: 0.7049 0.3700 0.4098  4 Bi 2.73-3.00, 2 Rh 2.95
Rh: 0.8786 0.8249 0.7572  4 Bi 2.70-2.80, 1 Rh 2.98
Rh: 0.6078 0.8859 0.2156  3 Bi 2.73, 1 Rh 3.03
Pr: 0.8165 0.2119 0.6330  8 Rh 3.07-3.39, 3 Bi 3.27-3.42
Pr: 0.1835 0.7119 0.3670  8 Rh 3.07-3.39, 3 Bi 3.27-3.42
Pr: 0.5092 0.2843 0.0185  3 Rh 2.96-3.10, 3 Bi 3.14-3.31
Pr: 0.4908 0.7843 0.9815  3 Rh 2.96-3.10, 3 Bi 3.14-3.31

Results
For the energy of formation, the calculation gives -0.35 eV/atom. The value obtained for the density of states at the Fermi level is 0.74 states/eV per atom. For the energy, the calculation gives -6.15 eV per atom. Its magnetization is 0.0 μB per cell.


Q: What is the formula in the first record?
A: Pr3Bi4Rh8